No. 1
GaTc3Te | PBE | optimized geometry

Cell and atoms, written as POSCAR:
```
GaTc3Te
1.0
-4.5300 -0.2101 1.6626
-0.2463 -4.6564 -1.2596
1.6577 -1.2661 4.3564
Tc Ga Te
3 1 1
direct
0.0000 0.5000 0.0000
0.0000 0.0000 0.5000
0.5000 0.0000 0.0000
0.5000 0.5000 0.5000
0.0000 0.0000 0.0000
```

**ΔE_f (raw)**: 1.70 eV per atom
**Excess energy over the best structure of this formula in the dataset**: 333 meV per atom

No. 2
Th4Ga3Tc | PBE | optimized geometry

Cell and atoms, written as POSCAR:
```
Th4Ga3Tc
1.0
4.3672 0.0000 0.0000
0.0000 4.1401 0.0000
0.0000 0.0000 11.0586
Th Tc Ga
4 1 3
direct
0.5000 0.0000 0.6443
0.0000 0.5000 0.8606
0.0000 0.0000 0.1322
0.5000 0.5000 0.3485
0.5000 0.5000 0.0891
0.0000 0.5000 0.5711
0.0000 0.0000 0.4241
0.5000 0.0000 0.9301
```

**Formation enthalpy at 0 K**: -0.427 eV/atom

No. 3
Th2GaTc | PBE | optimized geometry

Cell and atoms, written as POSCAR:
```
Th2GaTc
1.0
4.0547 0.0000 0.0000
2.0274 3.5115 0.0000
2.0274 1.1705 7.6477
Th Tc Ga
2 1 1
direct
0.7352 0.7352 0.7944
0.2648 0.2648 0.2056
0.0000 0.0000 0.0000
0.5000 0.5000 0.5000
```

**Formation enthalpy at 0 K**: -0.079 eV/atom

No. 4
Th2Ga3Tc | PBE | optimized geometry

Cell and atoms, written as POSCAR:
```
Th2Ga3Tc
1.0
-1.6630 4.0647 0.8731
-4.8551 -0.1549 2.9554
1.6361 1.9707 5.4237
Ga Th Tc
3 2 1
direct
0.8277 0.2456 0.0990
0.1700 0.7502 0.9099
0.8439 0.6203 0.6918
0.5522 0.2092 0.6864
0.4392 0.8164 0.3051
0.1669 0.3583 0.3078
```

**Formation enthalpy at 0 K**: -0.435 eV/atom
**Excess energy over the best structure of this formula in the dataset**: 14 meV per atom